DyLu3S, relaxed, DFT PBE; energy relative to the elements, uncorrected = -2.91 eV per formula unit; total moment = 1.81 μB per cell
1.0
5.1942 0.0000 0.0000
0.0000 5.1942 0.0000
0.0000 0.0000 5.1942
Dy Lu S
1 3 1
direct
0.5000 0.5000 0.5000 Dy
0.5000 0.0000 0.0000 Lu
0.0000 0.5000 0.0000 Lu
0.0000 0.0000 0.5000 Lu
0.0000 0.0000 0.0000 S